A relaxed Rb2BiPWO8 crystal, computed with PBE+U.

a = 12.713 Å, b = 12.713 Å, c = 12.713 Å
α = 147.19°, β = 120.27°, γ = 69.84°
Positions (direct):
Rb 0.077 0.689 0.451
Rb 0.238 0.189 0.113
Rb 0.262 0.374 0.951
Rb 0.423 0.874 0.613
Rb 0.577 0.126 0.387
Rb 0.738 0.626 0.049
Rb 0.762 0.811 0.887
Rb 0.923 0.311 0.549
Bi 0.167 0.750 0.917
Bi 0.333 0.250 0.583
Bi 0.667 0.750 0.417
Bi 0.833 0.250 0.083
P 0.074 0.250 0.324
P 0.426 0.750 0.176
P 0.574 0.250 0.824
P 0.926 0.750 0.676
W 0.088 0.838 0.250
W 0.412 0.662 0.750
W 0.588 0.338 0.250
W 0.912 0.162 0.750
O 0.059 0.333 0.274
O 0.059 0.833 0.774
O 0.073 0.148 0.798
O 0.102 0.683 0.012
O 0.142 0.409 0.569
O 0.150 0.725 0.298
O 0.160 0.091 0.233
O 0.171 0.090 0.488
O 0.329 0.817 0.919
O 0.340 0.573 0.931
O 0.350 0.648 0.575
O 0.358 0.927 0.267
O 0.398 0.410 0.581
O 0.427 0.225 0.075
O 0.441 0.215 0.774
O 0.441 0.715 0.274
O 0.559 0.285 0.726
O 0.559 0.785 0.226
O 0.573 0.775 0.925
O 0.602 0.590 0.419
O 0.642 0.073 0.733
O 0.650 0.352 0.425
O 0.660 0.427 0.069
O 0.671 0.183 0.081
O 0.829 0.910 0.512
O 0.840 0.909 0.767
O 0.850 0.275 0.702
O 0.858 0.591 0.431
O 0.898 0.317 0.988
O 0.927 0.852 0.202
O 0.941 0.167 0.226
O 0.941 0.667 0.726

Results
For the density, the calculation gives 5.07 Mg/m³. For the magnetic moment, the calculation gives 0.0 μB per formula unit. The volume comes out at 948 Å³ per cell. The value obtained for the total energy is -6.50 eV per atom.